(1)
Below is an optimized crystal structure of TlZn2Tc, with properties calculated at the PBE level.

abc: 5.2431 5.2431 5.2431
angles: 136.92 136.92 62.56
Closest atoms and distances in Å follow each position.
Element x y z (fractional)
1 Tl 0.0000 0.0000 0.0000  8 Zn 2.72-2.95, 4 Tc 2.95
2 Zn 0.5000 0.5000 0.0000  4 Tl 2.72, 4 Zn 2.95, 4 Tc 2.95
3 Zn 0.7500 0.2500 0.5000  4 Tc 2.72, 4 Tl 2.95, 4 Zn 2.95
4 Tc 0.2500 0.7500 0.5000  8 Zn 2.72-2.95, 4 Tl 2.95

Computed properties:
The value obtained for the total magnetization is 0.000 μB per atom. Its space group is I-4m2.

(2)
Below is an optimized crystal structure of Tl2ZnTc, with properties calculated at the PBE level.

abc: 3.6409 3.6409 5.9296
angles: 90.00 90.00 90.00
Closest atoms and distances in Å follow each position.
Element x y z (fractional)
1 Tl 0.0000 0.0000 0.2456  2 Tl 2.91-3.02, 4 Tc 2.96, 4 Zn 2.98
2 Tl 0.0000 0.0000 0.7544  2 Tl 2.91-3.02, 4 Tc 2.96, 4 Zn 2.98
3 Zn 0.5000 0.5000 0.5000  2 Tc 2.96, 8 Tl 2.98
4 Tc 0.5000 0.5000 0.0000  8 Tl 2.96, 2 Zn 2.96

Computed properties:
The value obtained for the total magnetization is 0.000 μB per atom. Its space group is P4/mmm.

(3)
Below is an optimized crystal structure of TlZnTc2, with properties calculated at the PBE level.

abc: 2.8672 2.8672 9.5459
angles: 90.00 90.00 115.53
Closest atoms and distances in Å follow each position.
Element x y z (fractional)
1 Tl 0.0000 0.0000 0.0000  6 Tl 2.87-3.06, 2 Tc 3.04, 2 Zn 3.14
2 Zn 0.5000 0.5000 0.2868  2 Tc 2.65, 4 Zn 2.87
3 Tc 0.0000 0.0000 0.5136  2 Tc 2.53, 2 Zn 2.65
4 Tc 0.5000 0.5000 0.7251  2 Tc 2.53

Computed properties:
The value obtained for the total magnetization is 0.000 μB per atom. Its space group is Cmm2.

(4)
Below is an optimized crystal structure of TlZn2Tc, with properties calculated at the PBE level.

abc: 9.1661 9.1661 9.1661
angles: 18.97 18.97 18.97
Closest atoms and distances in Å follow each position.
Element x y z (fractional)
1 Tl 0.0000 0.0000 0.0000  3 Tc 2.97, 6 Tl 3.02, 3 Zn 3.06
2 Zn 0.5024 0.5024 0.5024  3 Tc 2.68, 3 Zn 2.70
3 Zn 0.7596 0.7596 0.7596  3 Zn 2.70
4 Tc 0.2445 0.2445 0.2445  3 Zn 2.68, 3 Tl 2.97

Computed properties:
The value obtained for the total magnetization is 0.183 μB per atom. Its space group is R3m.

| no. | uncorrected energy (eV per atom) | D(E_F) (states/eV/atom) | energy of formation (eV/atom) |
| --- | --- | --- | --- |
| 1 | -3.51 | 0.12 | 0.3087 |
| 2 | -3.52 | 0.66 | 0.5733 |
| 3 | -5.59 | 0.92 | 0.5032 |
| 4 | -3.37 | 0.72 | 0.4461 |